[1]
Entry from the Open Quantum Materials Database: a relaxed KHoAgSe3 crystal (PBE-GGA).

a b c (Å): 4.1061 15.1361 10.7409
angles (deg): 90.00 90.00 90.00
Closest atoms and distances in Å follow each position.
Space group Cmcm (No. 63)
Inequivalent atoms, fractional coordinates:
K 0.0000 0.2472 0.2500  8 Se 3.38-3.71
Ho 0.0000 0.0000 0.0000  6 Se 2.88-2.92
Ag 0.0000 0.4652 0.7500  4 Se 2.60-2.65
Se 0.0000 0.0756 0.7500  2 Ag 2.65, 2 Ho 2.92
Se 0.0000 0.3712 0.5477  1 Ag 2.60, 2 Ho 2.88

Magnetic moment, μB/cell: 0.3
Raw total energy, eV per atom: -4.28

[2]
Entry from the Open Quantum Materials Database: a relaxed Mg4AlGaIr2 crystal (PBE-GGA).

a b c (Å): 7.5404 4.2222 13.3812
angles (deg): 90.00 90.00 90.00
Closest atoms and distances in Å follow each position.
Space group Amm2 (No. 38)
Inequivalent atoms, fractional coordinates:
Mg 0.1908 0.0000 0.0000  1 Ir 2.54
Mg 0.1934 0.0000 0.2449  1 Ir 2.55
Al 0.5000 0.0000 0.5271  3 Ir 2.51-2.69, 1 Ga 2.59
Ga 0.5000 0.0000 0.7204  3 Ir 2.54-2.74, 1 Al 2.59
Ir 0.5000 0.0000 0.3260  2 Ir 2.50, 2 Ga 2.54, 2 Mg 2.55, 1 Al 2.69
Ir 0.5000 0.0000 0.9255  2 Ir 2.50, 2 Al 2.51, 2 Mg 2.54, 1 Ga 2.74

Magnetic moment, μB/cell: 0.0
Raw total energy, eV per atom: -3.67

[3]
Entry from the Open Quantum Materials Database: a relaxed CsSi5Ni3 crystal (PBE-GGA).

a b c (Å): 4.6891 4.6891 9.2885
angles (deg): 90.00 90.00 120.00
Closest atoms and distances in Å follow each position.
Space group P6/mmm (No. 191)
Inequivalent atoms, fractional coordinates:
Cs 0.0000 0.0000 0.0000  12 Si 3.78
Si 0.0000 0.0000 0.5000  6 Ni 2.34
Si 0.3333 0.6667 0.2837  3 Ni 2.42, 3 Si 2.71
Ni 0.0000 0.5000 0.5000  4 Ni 2.34, 6 Si 2.34-2.42

Magnetic moment, μB/cell: 0.0
Raw total energy, eV per atom: -5.06

[4]
Entry from the Open Quantum Materials Database: a relaxed YHfCuAs crystal (PBE-GGA).

a b c (Å): 6.8028 6.8028 6.8028
angles (deg): 90.00 90.00 90.00
Closest atoms and distances in Å follow each position.
Space group F-43m (No. 216)
Inequivalent atoms, fractional coordinates:
Y 0.0000 0.0000 0.0000  4 Hf 2.95, 4 Cu 2.95
Hf 0.2500 0.2500 0.2500  4 As 2.95, 4 Y 2.95
Cu 0.2500 0.2500 0.7500  4 As 2.95, 4 Y 2.95
As 0.0000 0.0000 0.5000  4 Cu 2.95, 4 Hf 2.95

Magnetic moment, μB/cell: 0.1
Raw total energy, eV per atom: -5.92

[5]
Entry from the Open Quantum Materials Database: a relaxed Lu4Ga2CN crystal (PBE-GGA).

a b c (Å): 3.4395 3.4395 14.7833
angles (deg): 90.00 90.00 120.00
Closest atoms and distances in Å follow each position.
Space group P-3m1 (No. 164)
Inequivalent atoms, fractional coordinates:
Lu 0.3333 0.6667 0.0889  3 C 2.38
Lu 0.3333 0.6667 0.4105  3 N 2.39
Ga 0.3333 0.6667 0.7468  6 Lu 3.06-3.14
C 0.0000 0.0000 0.0000  6 Lu 2.38
N 0.0000 0.0000 0.5000  6 Lu 2.39

Magnetic moment, μB/cell: 0.0
Raw total energy, eV per atom: -5.99

[6]
Entry from the Open Quantum Materials Database: a relaxed PmGdTlCd crystal (PBE-GGA).

a b c (Å): 7.6508 7.6508 7.6508
angles (deg): 90.00 90.00 90.00
Closest atoms and distances in Å follow each position.
Space group F-43m (No. 216)
Inequivalent atoms, fractional coordinates:
Pm 0.0000 0.0000 0.0000  4 Tl 3.31, 4 Cd 3.31
Gd 0.0000 0.0000 0.5000  4 Cd 3.31, 4 Tl 3.31
Tl 0.2500 0.2500 0.2500  4 Gd 3.31, 4 Pm 3.31
Cd 0.2500 0.2500 0.7500  4 Gd 3.31, 4 Pm 3.31

Magnetic moment, μB/cell: 2.2
Raw total energy, eV per atom: -3.53

[7]
Entry from the Open Quantum Materials Database: a relaxed TbAgNO crystal (PBE-GGA).

a b c (Å): 3.9404 6.1943 5.6397
angles (deg): 90.00 90.00 90.00
Closest atoms and distances in Å follow each position.
Space group Pmc2_1 (No. 26)
Inequivalent atoms, fractional coordinates:
Tb 0.0000 0.1917 0.0000  2 O 2.15-2.17, 2 N 2.25
Ag 0.5000 0.3442 0.4991  2 N 2.14
N 0.5000 0.3283 0.8788  2 Ag 2.14, 2 Tb 2.25
O 0.0000 0.1385 0.3806  2 Tb 2.15-2.17

Magnetic moment, μB/cell: 1.8
Raw total energy, eV per atom: -6.10

[8]
Entry from the Open Quantum Materials Database: a relaxed Y3Er3ReTe2 crystal (PBE-GGA).

a b c (Å): 8.2342 8.2342 4.1402
angles (deg): 90.00 90.00 120.00
Closest atoms and distances in Å follow each position.
Space group P-62m (No. 189)
Inequivalent atoms, fractional coordinates:
Y 0.0000 0.6094 0.0000  1 Re 3.22, 4 Te 3.28, 4 Er 3.49
Er 0.0000 0.2353 0.5000  2 Re 2.84
Re 0.0000 0.0000 0.0000  6 Er 2.84
Te 0.3333 0.6667 0.5000  3 Er 3.22, 6 Y 3.28

Magnetic moment, μB/cell: 0.1
Raw total energy, eV per atom: -6.41

[9]
Entry from the Open Quantum Materials Database: a relaxed NdGdFe2Si2C crystal (PBE-GGA).

a b c (Å): 10.7125 3.9765 6.9002
angles (deg): 90.00 129.62 90.00
Closest atoms and distances in Å follow each position.
Space group Cm (No. 8)
Inequivalent atoms, fractional coordinates:
Nd 0.0000 0.0000 0.0000  2 C 2.65
Gd 0.1201 0.0000 0.5928  2 C 2.59
Fe 0.2613 0.5000 0.3919  1 C 1.79
Fe 0.3640 0.0000 0.2096  1 C 1.79
Si 0.2291 0.5000 0.0261  3 Fe 2.30-2.32
Si 0.3942 0.0000 0.5706  3 Fe 2.29-2.30
C 0.0642 0.5000 0.3067  2 Fe 1.79

Magnetic moment, μB/cell: 0.0
Raw total energy, eV per atom: -7.22

[10]
Entry from the Open Quantum Materials Database: a relaxed NpSbAs crystal (PBE-GGA).

a b c (Å): 6.9691 6.9691 6.9691
angles (deg): 90.00 90.00 90.00
Closest atoms and distances in Å follow each position.
Space group F-43m (No. 216)
Inequivalent atoms, fractional coordinates:
Np 0.0000 0.0000 0.0000  4 As 3.02, 4 Sb 3.02
Sb 0.2500 0.2500 0.2500  4 Np 3.02
As 0.2500 0.2500 0.7500  4 Np 3.02

Magnetic moment, μB/cell: 14.2
Raw total energy, eV per atom: -7.20

[11]
Entry from the Open Quantum Materials Database: a relaxed ErZrZnCo2 crystal (PBE-GGA).

a b c (Å): 4.0437 5.3410 7.7394
angles (deg): 90.00 90.00 90.00
Closest atoms and distances in Å follow each position.
Space group Imm2 (No. 44)
Inequivalent atoms, fractional coordinates:
Er 0.0000 0.0000 0.0000  6 Co 2.70-2.84
Zr 0.0000 0.0000 0.4172  6 Co 2.74-2.82, 2 Zn 3.00
Zn 0.0000 0.5000 0.2038  4 Co 2.53
Co 0.0000 0.2843 0.7112  1 Co 2.30, 2 Zn 2.53

Magnetic moment, μB/cell: 0.0
Raw total energy, eV per atom: -6.03
Calculated formation energy, eV per atom: -0.32

[12]
Entry from the Open Quantum Materials Database: a relaxed CsPtSeS2 crystal (PBE-GGA).

a b c (Å): 6.9775 7.1591 7.3556
angles (deg): 69.75 70.22 63.75
Closest atoms and distances in Å follow each position.
Space group P-1 (No. 2)
Inequivalent atoms, fractional coordinates:
Cs 0.1406 0.1552 0.1790  7 S 3.63-4.05, 3 Se 3.72-3.83, 1 Pt 3.89
Pt 0.2772 0.4608 0.4776  4 S 2.32-2.38, 1 Se 2.48
Se 0.4281 0.8687 0.6146  1 Se 2.39, 1 Pt 2.48
S 0.0018 0.3261 0.6929  2 Pt 2.32-2.38
S 0.4586 0.3906 0.7286  2 Pt 2.36-2.37

Magnetic moment, μB/cell: 0.0
Raw total energy, eV per atom: -4.24

[13]
Entry from the Open Quantum Materials Database: a relaxed ReW2 crystal (PBE-GGA).

a b c (Å): 9.7090 9.7090 5.0755
angles (deg): 90.00 90.00 90.00
Closest atoms and distances in Å follow each position.
Space group P4_2/mnm (No. 136)
Inequivalent atoms, fractional coordinates:
Re 0.0000 0.0000 0.0000  8 W 2.58-2.88, 4 Re 2.83
Re 0.1839 0.1839 0.2533  2 Re 2.50-2.57
W 0.0371 0.6307 0.5000  6 W 2.64-2.78
W 0.0642 0.7417 0.0000  5 Re 2.58-2.82, 5 W 2.67-2.78
W 0.0998 0.9002 0.5000  7 W 2.69-2.99, 2 Re 2.88

Magnetic moment, μB/cell: 0.0
Raw total energy, eV per atom: -12.64
Calculated formation energy, eV per atom: 0.14

[14]
Entry from the Open Quantum Materials Database: a relaxed Tm4CdPbC2 crystal (PBE-GGA).

a b c (Å): 3.5528 3.5528 15.9947
angles (deg): 90.00 90.00 120.00
Closest atoms and distances in Å follow each position.
Space group P-6m2 (No. 187)
Inequivalent atoms, fractional coordinates:
Tm 0.0000 0.0000 0.1678  3 C 2.43
Tm 0.3333 0.6667 0.3323  3 C 2.45
Cd 0.0000 0.0000 0.5000  6 Tm 3.38, 6 Cd 3.55
Pb 0.3333 0.6667 0.0000  6 Tm 3.38, 6 Pb 3.55
C 0.6667 0.3333 0.2490  6 Tm 2.43-2.45

Magnetic moment, μB/cell: 0.7
Raw total energy, eV per atom: -5.55

[15]
Entry from the Open Quantum Materials Database: a relaxed YCoGe2 crystal (PBE-GGA).

a b c (Å): 6.5663 6.5663 6.5663
angles (deg): 90.00 90.00 90.00
Closest atoms and distances in Å follow each position.
Space group F-43m (No. 216)
Inequivalent atoms, fractional coordinates:
Y 0.0000 0.0000 0.0000  4 Ge 2.84, 4 Co 2.84
Co 0.2500 0.2500 0.2500  4 Ge 2.84, 4 Y 2.84
Ge 0.0000 0.0000 0.5000  4 Ge 2.84, 4 Co 2.84
Ge 0.2500 0.2500 0.7500  4 Ge 2.84, 4 Y 2.84

Magnetic moment, μB/cell: 0.0
Raw total energy, eV per atom: -5.80

[16]
Entry from the Open Quantum Materials Database: a relaxed CoRe2Ni crystal (PBE-GGA).

a b c (Å): 5.2373 9.1097 4.2015
angles (deg): 90.00 90.00 90.00
Closest atoms and distances in Å follow each position.
Space group Cmcm (No. 63)
Inequivalent atoms, fractional coordinates:
Co 0.0000 0.1733 0.2500  4 Ni 2.53-2.62, 8 Re 2.56-2.69
Re 0.2489 0.0850 0.7500  4 Co 2.56-2.69, 4 Ni 2.57-2.68, 4 Re 2.61-2.63
Ni 0.0000 0.3287 0.7500  4 Co 2.53-2.62, 8 Re 2.57-2.68

Magnetic moment, μB/cell: 0.7
Raw total energy, eV per atom: -9.41
Calculated formation energy, eV per atom: -0.03

[17]
Entry from the Open Quantum Materials Database: a relaxed GdY2Mg3Al2Hg crystal (PBE-GGA).

a b c (Å): 4.5196 12.8991 7.4165
angles (deg): 90.00 90.00 90.00
Closest atoms and distances in Å follow each position.
Space group Amm2 (No. 38)
Inequivalent atoms, fractional coordinates:
Gd 0.0000 0.0000 0.0000  1 Hg 3.16, 4 Al 3.17, 2 Mg 3.33
Y 0.0000 0.2128 0.3616  4 Al 3.16, 1 Hg 3.16, 2 Mg 3.34
Mg 0.5000 0.0000 0.3302  2 Al 2.87, 2 Hg 2.89, 2 Mg 3.14
Mg 0.5000 0.1221 0.6962  2 Al 2.86-2.87, 2 Hg 2.90, 2 Mg 3.14-3.15
Al 0.5000 0.1671 0.0745  3 Mg 2.86-2.87, 4 Y 3.16, 2 Gd 3.17
Hg 0.0000 0.0000 0.5733  6 Mg 2.89-2.90, 2 Y 3.16, 1 Gd 3.16

Magnetic moment, μB/cell: 0.0
Raw total energy, eV per atom: -3.72

[18]
Entry from the Open Quantum Materials Database: a relaxed TaNiBW crystal (PBE-GGA).

a b c (Å): 5.9014 5.9014 5.9014
angles (deg): 90.00 90.00 90.00
Closest atoms and distances in Å follow each position.
Space group F-43m (No. 216)
Inequivalent atoms, fractional coordinates:
Ta 0.0000 0.0000 0.0000  4 Ni 2.56, 4 B 2.56
Ni 0.2500 0.2500 0.2500  4 Ta 2.56, 4 W 2.56
B 0.2500 0.2500 0.7500  4 Ta 2.56, 4 W 2.56
W 0.0000 0.0000 0.5000  4 Ni 2.56, 4 B 2.56

Magnetic moment, μB/cell: 0.0
Raw total energy, eV per atom: -9.02

[19]
Entry from the Open Quantum Materials Database: a relaxed Sm2Br3O crystal (PBE-GGA).

a b c (Å): 18.3914 4.0404 11.5371
angles (deg): 90.00 124.42 90.00
Closest atoms and distances in Å follow each position.
Space group C2/m (No. 12)
Inequivalent atoms, fractional coordinates:
Sm 0.0725 0.0000 0.4580  2 O 2.33
Sm 0.1331 0.5000 0.7803  2 O 2.30
Br 0.0351 0.5000 0.2392  3 Sm 2.97-2.99
Br 0.1692 0.0000 0.0093  3 Sm 3.02-3.09, 1 O 3.32
Br 0.2166 0.5000 0.6189  3 Sm 3.00-3.01
O 0.0807 0.0000 0.6666  4 Sm 2.30-2.33

Magnetic moment, μB/cell: 0.1
Raw total energy, eV per atom: -5.53

[20]
Entry from the Open Quantum Materials Database: a relaxed Dy2AgS3 crystal (PBE-GGA).

a b c (Å): 8.5810 3.7867 15.5265
angles (deg): 90.00 90.00 90.00
Closest atoms and distances in Å follow each position.
Space group Pnma (No. 62)
Inequivalent atoms, fractional coordinates:
Dy 0.1268 0.2500 0.2119  7 S 2.72-3.01
Dy 0.1671 0.2500 0.9434  6 S 2.72-2.80
Ag 0.0557 0.2500 0.5674  3 S 2.53-2.57
S 0.1180 0.2500 0.7652  5 Dy 2.80-3.01, 1 Ag 3.12
S 0.1290 0.2500 0.3873  3 Ag 2.57-2.87, 3 Dy 2.72
S 0.1497 0.7500 0.0758  1 Ag 2.53, 3 Dy 2.74-2.80

Magnetic moment, μB/cell: 0.2
Raw total energy, eV per atom: -5.53

[21]
Entry from the Open Quantum Materials Database: a relaxed BeZnNiSb crystal (PBE-GGA).

a b c (Å): 6.1948 6.1948 6.1948
angles (deg): 90.00 90.00 90.00
Closest atoms and distances in Å follow each position.
Space group F-43m (No. 216)
Inequivalent atoms, fractional coordinates:
Be 0.0000 0.0000 0.0000  4 Sb 2.68, 4 Zn 2.68
Zn 0.2500 0.2500 0.2500  4 Ni 2.68, 4 Be 2.68
Ni 0.0000 0.0000 0.5000  4 Zn 2.68, 4 Sb 2.68
Sb 0.2500 0.2500 0.7500  4 Ni 2.68, 4 Be 2.68

Magnetic moment, μB/cell: 0.0
Raw total energy, eV per atom: -3.36

[22]
Entry from the Open Quantum Materials Database: a relaxed Ho2ErMg3Tl2Cd crystal (PBE-GGA).

a b c (Å): 4.6026 13.0255 7.5250
angles (deg): 90.00 90.00 90.00
Closest atoms and distances in Å follow each position.
Space group Amm2 (No. 38)
Inequivalent atoms, fractional coordinates:
Ho 0.0000 0.2122 0.0000  1 Cd 3.19, 4 Tl 3.22, 2 Mg 3.42
Er 0.0000 0.0000 0.6365  1 Cd 3.19, 4 Tl 3.21, 2 Mg 3.42
Mg 0.5000 0.0000 0.9724  2 Tl 2.92, 2 Cd 2.92, 2 Mg 3.12
Mg 0.5000 0.1199 0.3321  2 Cd 2.92, 2 Tl 2.92, 2 Mg 3.12
Tl 0.5000 0.1666 0.7122  3 Mg 2.92, 2 Er 3.21, 4 Ho 3.22
Cd 0.0000 0.0000 0.2123  6 Mg 2.92, 1 Er 3.19, 2 Ho 3.19

Magnetic moment, μB/cell: 0.0
Raw total energy, eV per atom: -2.98

[23]
Entry from the Open Quantum Materials Database: a relaxed Tb2SmO4 crystal (PBE-GGA).

a b c (Å): 9.6784 9.6784 9.6784
angles (deg): 90.00 90.00 90.00
Closest atoms and distances in Å follow each position.
Space group Fd-3m (No. 227, origin choice 2)
Inequivalent atoms, fractional coordinates:
Tb 0.0000 0.0000 0.0000  6 O 2.33
Sm 0.1250 0.1250 0.6250  4 O 2.26
O 0.0101 0.0101 0.2399  1 Sm 2.26, 3 Tb 2.33

Magnetic moment, μB/cell: 1.8
Raw total energy, eV per atom: -8.02